(1)
# CdInHg, PBEsol geometry, DFT meta-GGA SCAN
data_CdInHg
_chemical_formula_sum 'Cd2 In2 Hg2'
_cell_length_a 3.288
_cell_length_b 3.288
_cell_length_c 12.779
_cell_angle_alpha 90.00
_cell_angle_beta 90.00
_cell_angle_gamma 90.00
_symmetry_space_group_name_H-M 'I 4 m m'
_symmetry_Int_Tables_number 107
_symmetry_space_group_name_Hall 'I 4 -2'
loop_
_atom_site_label
_atom_site_type_symbol
_atom_site_fract_x
_atom_site_fract_y
_atom_site_fract_z
Cd1 Cd 0.000 0.000 0.000
In1 In 0.000 0.000 0.329
Hg1 Hg 0.000 0.000 0.657
# Calculated formation energy, eV per atom: 0.04
# Total magnetization, μB per formula unit: 0.00

---

(2)
# Cd2In2Hg, PBEsol geometry, DFT meta-GGA SCAN
data_Cd2In2Hg
_chemical_formula_sum 'Cd4 In4 Hg2'
_cell_length_a 4.140
_cell_length_b 4.140
_cell_length_c 14.669
_cell_angle_alpha 90.00
_cell_angle_beta 90.00
_cell_angle_gamma 90.00
_symmetry_space_group_name_H-M 'I 4/m m m'
_symmetry_Int_Tables_number 139
_symmetry_space_group_name_Hall '-I 4 2'
loop_
_atom_site_label
_atom_site_type_symbol
_atom_site_fract_x
_atom_site_fract_y
_atom_site_fract_z
Cd1 Cd 0.000 0.500 0.250
In1 In 0.000 0.000 0.099
Hg1 Hg 0.000 0.000 0.500
# Calculated formation energy, eV per atom: 0.10
# Total magnetization, μB per formula unit: 0.00
# Energy relative to the lowest polymorph listed for this composition, meV per atom: 23

---

(3)
# CdInHg, PBEsol geometry, DFT meta-GGA SCAN
data_CdInHg
_chemical_formula_sum 'Cd4 In4 Hg4'
_cell_length_a 6.693
_cell_length_b 6.693
_cell_length_c 6.693
_cell_angle_alpha 90.00
_cell_angle_beta 90.00
_cell_angle_gamma 90.00
_symmetry_space_group_name_H-M 'F -4 3 m'
_symmetry_Int_Tables_number 216
_symmetry_space_group_name_Hall 'F -4 2 3'
loop_
_atom_site_label
_atom_site_type_symbol
_atom_site_fract_x
_atom_site_fract_y
_atom_site_fract_z
Cd1 Cd 0.000 0.000 0.000
In1 In 0.000 0.000 0.500
Hg1 Hg 0.250 0.250 0.750
# Calculated formation energy, eV per atom: -0.02
# Total magnetization, μB per formula unit: 0.00

---

(4)
# CdInHg, PBEsol geometry, DFT meta-GGA SCAN
data_CdInHg
_chemical_formula_sum 'Cd1 In1 Hg1'
_cell_length_a 4.8271
_cell_length_b 4.8271
_cell_length_c 3.5160
_cell_angle_alpha 90.00
_cell_angle_beta 90.00
_cell_angle_gamma 120.00
_symmetry_space_group_name_H-M 'P 3 m 1'
_symmetry_Int_Tables_number 156
loop_
_symmetry_equiv_pos_as_xyz
'x,y,z'
'-y,x-y,z'
'-x+y,-x,z'
'-y,-x,z'
'-x+y,y,z'
'x,x-y,z'
loop_
_atom_site_label
_atom_site_type_symbol
_atom_site_fract_x
_atom_site_fract_y
_atom_site_fract_z
Cd1 Cd 0.0000 0.0000 0.0000
In1 In 0.6667 0.3333 0.6219
Hg1 Hg 0.3333 0.6667 0.2608
# Calculated formation energy, eV per atom: 0.06
# Total magnetization, μB per formula unit: 0.00

---

(5)
# CdIn2Hg, PBEsol geometry, DFT meta-GGA SCAN
data_CdIn2Hg
_chemical_formula_sum 'Cd2 In4 Hg2'
_cell_length_a 4.674
_cell_length_b 4.674
_cell_length_c 8.598
_cell_angle_alpha 90.00
_cell_angle_beta 90.00
_cell_angle_gamma 90.00
_symmetry_space_group_name_H-M 'I 4/m m m'
_symmetry_Int_Tables_number 139
_symmetry_space_group_name_Hall '-I 4 2'
loop_
_atom_site_label
_atom_site_type_symbol
_atom_site_fract_x
_atom_site_fract_y
_atom_site_fract_z
Cd1 Cd 0.000 0.000 0.000
In1 In 0.000 0.500 0.250
Hg1 Hg 0.000 0.000 0.500
# Calculated formation energy, eV per atom: 0.07
# Total magnetization, μB per formula unit: 0.00
# Energy relative to the lowest polymorph listed for this composition, meV per atom: 39

---

(6)
# CdIn2Hg, PBEsol geometry, DFT meta-GGA SCAN
data_CdIn2Hg
_chemical_formula_sum 'Cd4 In8 Hg4'
_cell_length_a 6.094
_cell_length_b 6.082
_cell_length_c 10.949
_cell_angle_alpha 90.00
_cell_angle_beta 105.13
_cell_angle_gamma 90.00
_symmetry_space_group_name_H-M 'C 1 c 1'
_symmetry_Int_Tables_number 9
loop_
_symmetry_equiv_pos_as_xyz
'x,y,z'
'x,-y,z+1/2'
'x+1/2,y+1/2,z'
'x+1/2,-y+1/2,z+1/2'
loop_
_atom_site_label
_atom_site_type_symbol
_atom_site_fract_x
_atom_site_fract_y
_atom_site_fract_z
Cd1 Cd 0.000 0.127 0.000
In1 In 0.137 0.125 0.750
In2 In 0.137 0.374 0.250
Hg1 Hg 0.000 0.373 0.500
# Calculated formation energy, eV per atom: 0.03
# Total magnetization, μB per formula unit: 0.00
# Energy relative to the lowest polymorph listed for this composition, meV per atom: 0

---

(7)
# CdIn2Hg, PBEsol geometry, DFT meta-GGA SCAN
data_CdIn2Hg
_chemical_formula_sum 'Cd2 In4 Hg2'
_cell_length_a 4.666
_cell_length_b 4.666
_cell_length_c 8.620
_cell_angle_alpha 90.00
_cell_angle_beta 90.00
_cell_angle_gamma 90.00
_symmetry_space_group_name_H-M 'I -4 m 2'
_symmetry_Int_Tables_number 119
_symmetry_space_group_name_Hall 'I -4 -2'
loop_
_atom_site_label
_atom_site_type_symbol
_atom_site_fract_x
_atom_site_fract_y
_atom_site_fract_z
Cd1 Cd 0.000 0.000 0.000
In1 In 0.000 0.000 0.500
In2 In 0.000 0.500 0.750
Hg1 Hg 0.000 0.500 0.250
# Calculated formation energy, eV per atom: 0.06
# Total magnetization, μB per formula unit: 0.00
# Energy relative to the lowest polymorph listed for this composition, meV per atom: 32

---

(8)
# CdIn2Hg, PBEsol geometry, DFT meta-GGA SCAN
data_CdIn2Hg
_chemical_formula_sum 'Cd2 In4 Hg2'
_cell_length_a 10.358
_cell_length_b 3.414
_cell_length_c 5.436
_cell_angle_alpha 90.00
_cell_angle_beta 102.33
_cell_angle_gamma 90.00
_symmetry_space_group_name_H-M 'C 1 m 1'
_symmetry_Int_Tables_number 8
loop_
_symmetry_equiv_pos_as_xyz
'x,y,z'
'x,-y,z'
'x+1/2,y+1/2,z'
'x+1/2,-y+1/2,z'
loop_
_atom_site_label
_atom_site_type_symbol
_atom_site_fract_x
_atom_site_fract_y
_atom_site_fract_z
Cd1 Cd 0.000 0.000 0.000
In1 In 0.007 0.500 0.509
In2 In 0.249 0.500 0.241
Hg1 Hg 0.258 0.000 0.751
# Calculated formation energy, eV per atom: 0.05
# Total magnetization, μB per formula unit: 0.00
# Energy relative to the lowest polymorph listed for this composition, meV per atom: 27